# CaInAsSe2

A relaxed structure of CaInAsSe2 (PBE, Alexandria).

Properties
Symmetry ... P4/mmm, No. 123
Raw formation energy ... -0.9 eV/f.u.
V ... 162 Å³ per cell

Structure (extended XYZ):
```
5
Lattice="-1.575 0.167 5.297 -0.694 -5.485 -0.033 5.029 -0.645 1.516" Properties=species:S:1:pos:R:3 pbc="T T T"
As 2.515 -0.323 0.758
Ca 1.380 -2.981 3.390
Se -0.347 -2.742 -0.016
Se -0.788 0.084 2.648
In 0.000 0.000 0.000
```


# AgHgSeS

A relaxed structure of AgHgSeS (PBE, Alexandria).

Properties
Symmetry ... R3m, No. 160
Raw formation energy ... -0.1 eV/f.u.
V ... 107 Å³ per cell

Structure (extended XYZ):
```
4
Lattice="4.194 0.000 0.000 2.097 3.632 0.000 2.097 1.211 7.010" Properties=species:S:1:pos:R:3 pbc="T T T"
Ag 4.194 2.422 1.425
Hg 2.097 1.211 4.846
Se 6.291 3.632 0.515
S 4.194 2.422 3.938
```